# Ba2NpO2F4, relaxed, DFT PBE
# * energy relative to the elements, uncorrected: -3.378 eV/atom
# * energy: -7.177 eV/atom
data_Ba2NpO2F4
_cell_length_a 10.8024
_cell_length_b 6.6522
_cell_length_c 4.3579
_cell_angle_alpha 90.00
_cell_angle_beta 92.10
_cell_angle_gamma 90.00
_space_group_name_H-M_alt 'C 1 2/m 1'
_space_group_IT_number 12
_space_group_name_Hall '-C 2y'
loop_
_atom_site_label
_atom_site_fract_x
_atom_site_fract_y
_atom_site_fract_z
_atom_site_occupancy
Ba1 0.1657 0.0000 0.2758 1
Np1 0.0000 0.5000 0.0000 1
O1 0.1619 0.5000 0.2381 1
F1 0.0835 0.2117 0.7606 1

***

# U2HF8, relaxed, DFT PBE
# * energy: -6.810 eV/atom
data_U2HF8
_cell_length_a 10.2493
_cell_length_b 7.5103
_cell_length_c 4.4029
_cell_angle_alpha 90.00
_cell_angle_beta 93.58
_cell_angle_gamma 90.00
_space_group_name_H-M_alt 'C 1 2/m 1'
_space_group_IT_number 12
_space_group_name_Hall '-C 2y'
loop_
_atom_site_label
_atom_site_fract_x
_atom_site_fract_y
_atom_site_fract_z
_atom_site_occupancy
U1 0.2101 0.0000 0.0814 1
H1 0.0000 0.0000 0.0000 1
F1 0.1153 0.5000 0.6847 1
F2 0.1451 0.0000 0.5744 1
F3 0.1624 0.2803 0.1728 1

***

# TcMoSe2, relaxed, DFT PBE
# * energy relative to the elements, uncorrected: -0.031 eV/atom
# * energy: -7.072 eV/atom
# * ΔE to the lowest computed polymorph: 155 meV per atom
data_TcMoSe2
_cell_length_a 3.0343
_cell_length_b 3.9190
_cell_length_c 6.9080
_cell_angle_alpha 90.00
_cell_angle_beta 90.00
_cell_angle_gamma 90.00
_space_group_name_H-M_alt 'P m m 2'
_space_group_IT_number 25
_space_group_name_Hall 'P 2 -2'
loop_
_atom_site_label
_atom_site_fract_x
_atom_site_fract_y
_atom_site_fract_z
_atom_site_occupancy
Tc1 0.0000 0.0000 0.0000 1
Mo1 0.5000 0.5000 0.1774 1
Se1 0.0000 0.0000 0.3492 1
Se2 0.5000 0.5000 0.8274 1

***

# CaZnCu3, relaxed, DFT PBE
# * formation enthalpy at 0 K: 182 meV per atom
# * energy: -2.930 eV/atom
# * ΔE to the lowest computed polymorph: 274 meV per atom
data_CaZnCu3
_cell_length_a 4.5895
_cell_length_b 4.5895
_cell_length_c 4.5895
_cell_angle_alpha 90.00
_cell_angle_beta 90.00
_cell_angle_gamma 90.00
_space_group_name_H-M_alt 'P m -3 m'
_space_group_IT_number 221
_space_group_name_Hall '-P 4 2 3'
loop_
_atom_site_label
_atom_site_fract_x
_atom_site_fract_y
_atom_site_fract_z
_atom_site_occupancy
Ca1 0.0000 0.0000 0.0000 1
Zn1 0.5000 0.5000 0.5000 1
Cu1 0.0000 0.5000 0.5000 1

***

# K2AcGaO4, relaxed, DFT PBE
# * energy relative to the elements, uncorrected: -2.126 eV/atom
# * energy: -5.771 eV/atom
data_K2AcGaO4
_cell_length_a 6.0636
_cell_length_b 6.0636
_cell_length_c 8.7229
_cell_angle_alpha 90.00
_cell_angle_beta 90.00
_cell_angle_gamma 90.00
_space_group_name_H-M_alt 'I -4'
_space_group_IT_number 82
_space_group_name_Hall 'I -4'
loop_
_atom_site_label
_atom_site_fract_x
_atom_site_fract_y
_atom_site_fract_z
_atom_site_occupancy
K1 0.0000 0.0000 0.0000 1
K2 0.0000 0.5000 0.2500 1
Ac1 0.0000 0.0000 0.5000 1
Ga1 0.0000 0.5000 0.7500 1
O1 0.1677 0.7104 0.6400 1

***

# KSbPbI2, relaxed, DFT PBE
# * energy relative to the elements, uncorrected: -0.335 eV/atom
# * energy: -2.741 eV/atom
# * ΔE to the lowest computed polymorph: 0 meV per atom
data_KSbPbI2
_cell_length_a 6.4146
_cell_length_b 6.4146
_cell_length_c 6.1205
_cell_angle_alpha 90.00
_cell_angle_beta 90.00
_cell_angle_gamma 90.00
_space_group_name_H-M_alt 'P 4/m m m'
_space_group_IT_number 123
_space_group_name_Hall '-P 4 2'
loop_
_atom_site_label
_atom_site_fract_x
_atom_site_fract_y
_atom_site_fract_z
_atom_site_occupancy
K1 0.0000 0.0000 0.0000 1
Sb1 0.5000 0.5000 0.0000 1
Pb1 0.5000 0.5000 0.5000 1
I1 0.0000 0.5000 0.5000 1

***

# ZnSbPt2Rh, relaxed, DFT PBE
# * energy relative to the elements, uncorrected: 0.812 eV/atom
# * energy: -4.154 eV/atom
data_ZnSbPt2Rh
_cell_length_a 4.9223
_cell_length_b 4.9223
_cell_length_c 4.8435
_cell_angle_alpha 90.00
_cell_angle_beta 90.00
_cell_angle_gamma 90.00
_space_group_name_H-M_alt 'P 4/m m m'
_space_group_IT_number 123
_space_group_name_Hall '-P 4 2'
loop_
_atom_site_label
_atom_site_fract_x
_atom_site_fract_y
_atom_site_fract_z
_atom_site_occupancy
Zn1 0.0000 0.0000 0.0000 1
Sb1 0.5000 0.5000 0.5000 1
Pt1 0.0000 0.5000 0.5000 1
Rh1 0.5000 0.5000 0.0000 1

***

# CaBi2Cl, relaxed, DFT PBE
# * energy relative to the elements, uncorrected: -0.257 eV/atom
# * energy: -3.159 eV/atom
# * ΔE to the lowest computed polymorph: 496 meV per atom
data_CaBi2Cl
_cell_length_a 7.8177
_cell_length_b 7.8177
_cell_length_c 7.8177
_cell_angle_alpha 90.00
_cell_angle_beta 90.00
_cell_angle_gamma 90.00
_space_group_name_H-M_alt 'F m -3 m'
_space_group_IT_number 225
_space_group_name_Hall '-F 4 2 3'
loop_
_atom_site_label
_atom_site_fract_x
_atom_site_fract_y
_atom_site_fract_z
_atom_site_occupancy
Ca1 0.0000 0.0000 0.0000 1
Bi1 0.2500 0.2500 0.2500 1
Cl1 0.0000 0.0000 0.5000 1